(1)
DFT (GGA-PBE) results for a relaxed V2CoSnH crystal.

Unit cell a=3.782 b=3.782 c=4.131 alpha=90.00 beta=90.00 gamma=90.00
Fractional positions:
V: 0.000 0.500 0.000
V: 0.500 0.000 0.000
Co: 0.000 0.000 0.500
Sn: 0.500 0.500 0.500
H: 0.000 0.000 0.000

Electronic total energy = -6.623 eV per atom
Space-group type = P4/mmm

***

(2)
DFT (GGA-PBE) results for a relaxed K2Ag3Sb3S7 crystal.

Unit cell a=13.459 b=13.459 c=6.933 alpha=90.00 beta=90.00 gamma=39.99
Fractional positions:
K: 0.011 0.399 0.000
K: 0.399 0.011 0.500
K: 0.601 0.989 0.000
K: 0.989 0.601 0.500
Ag: 0.078 0.104 0.435
Ag: 0.104 0.078 0.935
Ag: 0.174 0.826 0.166
Ag: 0.826 0.174 0.666
Ag: 0.896 0.922 0.435
Ag: 0.922 0.896 0.935
Sb: 0.264 0.480 0.009
Sb: 0.338 0.662 0.621
Sb: 0.480 0.264 0.509
Sb: 0.520 0.736 0.009
Sb: 0.662 0.338 0.121
Sb: 0.736 0.520 0.509
S: 0.015 0.326 0.510
S: 0.116 0.884 0.820
S: 0.187 0.665 0.412
S: 0.303 0.320 0.747
S: 0.320 0.303 0.247
S: 0.326 0.015 0.010
S: 0.335 0.813 0.412
S: 0.665 0.187 0.912
S: 0.674 0.985 0.510
S: 0.680 0.697 0.747
S: 0.697 0.680 0.247
S: 0.813 0.335 0.912
S: 0.884 0.116 0.320
S: 0.985 0.674 0.010

Energy relative to the elements, uncorrected = -448 meV per atom
Space-group type = Cmc2_1

***

(3)
DFT (GGA-PBE) results for a relaxed Cu2SbMo crystal.

Unit cell a=8.695 b=8.695 c=8.695 alpha=19.88 beta=19.88 gamma=19.88
Fractional positions:
Cu: 0.000 0.000 0.000
Cu: 0.261 0.261 0.261
Sb: 0.758 0.758 0.758
Mo: 0.515 0.515 0.515

Energy relative to the elements, uncorrected = 481 meV per atom
Space-group type = R3m

***

(4)
DFT (GGA-PBE) results for a relaxed SnCSe3 crystal.

Unit cell a=4.552 b=4.552 c=4.552 alpha=90.00 beta=90.00 gamma=90.00
Fractional positions:
Sn: 0.000 0.000 0.000
C: 0.500 0.500 0.500
Se: 0.000 0.500 0.500
Se: 0.500 0.000 0.500
Se: 0.500 0.500 0.000

Energy relative to the elements, uncorrected = 818 meV per atom
Space-group type = Pm-3m

***

| no. | total magnetization (μB per formula unit) | theoretical density (Mg/m³) |
| --- | --- | --- |
| 1 | 0.54 | 7.884 |
| 2 | 0.00 | 4.080 |
| 3 | 0.00 | 8.611 |
| 4 | 0.00 | 6.471 |